--- i ---
Compound: LiAl4Cu
Source: Alexandria
Functional: PBE
Structure: relaxed

```
data_LiAl4Cu
_chemical_formula_sum 'Li4 Al16 Cu4'
_symmetry_space_group_name_H-M 'F -4 3 m'
_symmetry_Int_Tables_number 216
_symmetry_space_group_name_Hall 'F -4 2 3'
_cell_length_a 7.4624
_cell_length_b 7.4624
_cell_length_c 7.4624
_cell_angle_alpha 90.00
_cell_angle_beta 90.00
_cell_angle_gamma 90.00
loop_
_atom_site_label
_atom_site_fract_x
_atom_site_fract_y
_atom_site_fract_z
_atom_site_occupancy
Li1 0.0000 0.0000 0.0000 1
Al1 0.1252 0.1252 0.6252 1
Cu1 0.2500 0.2500 0.2500 1
```

--- ii ---
Compound: LiAl4Cu
Source: Alexandria
Functional: PBE
Structure: relaxed

```
data_LiAl4Cu
_chemical_formula_sum 'Li4 Al16 Cu4'
_symmetry_space_group_name_H-M 'I 4/m c m'
_symmetry_Int_Tables_number 140
_symmetry_space_group_name_Hall '-I 4 2c'
_cell_length_a 6.1626
_cell_length_b 6.1626
_cell_length_c 10.0696
_cell_angle_alpha 90.00
_cell_angle_beta 90.00
_cell_angle_gamma 90.00
loop_
_atom_site_label
_atom_site_fract_x
_atom_site_fract_y
_atom_site_fract_z
_atom_site_occupancy
Li1 0.0000 0.0000 0.0000 1
Al1 0.1568 0.3432 0.1408 1
Cu1 0.0000 0.0000 0.2500 1
```

Energy relative to the most stable one, in meV per atom: i 229; ii 0

--- i ---
Compound: Li2AlCu6
Source: Alexandria
Functional: PBE
Structure: relaxed

```
data_Li2AlCu6
_chemical_formula_sum 'Li4 Al2 Cu12'
_symmetry_space_group_name_H-M 'C 1 2/m 1'
_symmetry_Int_Tables_number 12
_cell_length_a 7.1693
_cell_length_b 4.1210
_cell_length_c 7.5389
_cell_angle_alpha 90.00
_cell_angle_beta 90.43
_cell_angle_gamma 90.00
loop_
_symmetry_equiv_pos_as_xyz
'x,y,z'
'-x,-y,-z'
'-x,y,-z'
'x,-y,z'
'x+1/2,y+1/2,z'
'-x+1/2,-y+1/2,-z'
'-x+1/2,y+1/2,-z'
'x+1/2,-y+1/2,z'
loop_
_atom_site_label
_atom_site_fract_x
_atom_site_fract_y
_atom_site_fract_z
_atom_site_occupancy
Li1 0.1672 0.0000 0.2254 1
Al1 0.0000 0.5000 0.0000 1
Cu1 0.0004 0.5000 0.3364 1
Cu2 0.1664 0.0000 0.5532 1
Cu3 0.1665 0.0000 0.8875 1
```

--- ii ---
Compound: Li2AlCu6
Source: Alexandria
Functional: PBE
Structure: relaxed

```
data_Li2AlCu6
_chemical_formula_sum 'Li4 Al2 Cu12'
_symmetry_space_group_name_H-M 'C 1 2/m 1'
_symmetry_Int_Tables_number 12
_cell_length_a 7.7079
_cell_length_b 5.0707
_cell_length_c 6.4069
_cell_angle_alpha 90.00
_cell_angle_beta 108.13
_cell_angle_gamma 90.00
loop_
_symmetry_equiv_pos_as_xyz
'x,y,z'
'-x,-y,-z'
'-x,y,-z'
'x,-y,z'
'x+1/2,y+1/2,z'
'-x+1/2,-y+1/2,-z'
'-x+1/2,y+1/2,-z'
'x+1/2,-y+1/2,z'
loop_
_atom_site_label
_atom_site_fract_x
_atom_site_fract_y
_atom_site_fract_z
_atom_site_occupancy
Li1 0.1690 0.0000 0.0990 1
Al1 0.0000 0.5000 0.0000 1
Cu1 0.0487 0.2423 0.6995 1
Cu2 0.2400 0.5000 0.4665 1
```

Energy relative to the most stable one, in meV per atom: i 0; ii 68

--- i ---
Compound: Li6AlCu2
Source: Alexandria
Functional: PBE
Structure: relaxed

```
data_Li6AlCu2
_chemical_formula_sum 'Li18 Al3 Cu6'
_symmetry_space_group_name_H-M 'R -3 m'
_symmetry_Int_Tables_number 166
_symmetry_space_group_name_Hall '-R 3 2"'
_cell_length_a 4.4972
_cell_length_b 4.4972
_cell_length_c 25.8832
_cell_angle_alpha 90.00
_cell_angle_beta 90.00
_cell_angle_gamma 120.00
loop_
_atom_site_label
_atom_site_fract_x
_atom_site_fract_y
_atom_site_fract_z
_atom_site_occupancy
Li1 0.0000 0.0000 0.0871 1
Li2 0.0000 0.0000 0.2006 1
Li3 0.0000 0.0000 0.3073 1
Al1 0.0000 0.0000 0.5000 1
Cu1 0.0000 0.0000 0.4084 1
```

--- ii ---
Compound: Li6AlCu2
Source: Alexandria
Functional: PBE
Structure: relaxed

```
data_Li6AlCu2
_chemical_formula_sum 'Li12 Al2 Cu4'
_symmetry_space_group_name_H-M 'C 1 2/m 1'
_symmetry_Int_Tables_number 12
_cell_length_a 13.1587
_cell_length_b 4.2704
_cell_length_c 5.1728
_cell_angle_alpha 90.00
_cell_angle_beta 110.54
_cell_angle_gamma 90.00
loop_
_symmetry_equiv_pos_as_xyz
'x,y,z'
'-x,-y,-z'
'-x,y,-z'
'x,-y,z'
'x+1/2,y+1/2,z'
'-x+1/2,-y+1/2,-z'
'-x+1/2,y+1/2,-z'
'x+1/2,-y+1/2,z'
loop_
_atom_site_label
_atom_site_fract_x
_atom_site_fract_y
_atom_site_fract_z
_atom_site_occupancy
Li1 0.1013 0.0000 0.0748 1
Li2 0.1484 0.5000 0.8215 1
Li3 0.2241 0.0000 0.6174 1
Al1 0.0000 0.0000 0.5000 1
Cu1 0.0511 0.5000 0.2862 1
```

Energy relative to the most stable one, in meV per atom: i 57; ii 0

--- i ---
Compound: Li2AlCu8
Source: Alexandria
Functional: PBE
Structure: relaxed

```
data_Li2AlCu8
_chemical_formula_sum 'Li4 Al2 Cu16'
_symmetry_space_group_name_H-M 'C 1 2/m 1'
_symmetry_Int_Tables_number 12
_cell_length_a 6.6706
_cell_length_b 11.4993
_cell_length_c 4.3763
_cell_angle_alpha 90.00
_cell_angle_beta 122.06
_cell_angle_gamma 90.00
loop_
_symmetry_equiv_pos_as_xyz
'x,y,z'
'-x,-y,-z'
'-x,y,-z'
'x,-y,z'
'x+1/2,y+1/2,z'
'-x+1/2,-y+1/2,-z'
'-x+1/2,y+1/2,-z'
'x+1/2,-y+1/2,z'
loop_
_atom_site_label
_atom_site_fract_x
_atom_site_fract_y
_atom_site_fract_z
_atom_site_occupancy
Li1 0.0000 0.1904 0.0000 1
Al1 0.0000 0.5000 0.5000 1
Cu1 0.0000 0.2881 0.5000 1
Cu2 0.0850 0.0000 0.3126 1
Cu3 0.2123 0.3852 0.1374 1
```

--- ii ---
Compound: Li2AlCu8
Source: Alexandria
Functional: PBE
Structure: relaxed

```
data_Li2AlCu8
_chemical_formula_sum 'Li4 Al2 Cu16'
_symmetry_space_group_name_H-M 'I m m m'
_symmetry_Int_Tables_number 71
_symmetry_space_group_name_Hall '-I 2 2'
_cell_length_a 3.9876
_cell_length_b 6.2203
_cell_length_c 11.1439
_cell_angle_alpha 90.00
_cell_angle_beta 90.00
_cell_angle_gamma 90.00
loop_
_atom_site_label
_atom_site_fract_x
_atom_site_fract_y
_atom_site_fract_z
_atom_site_occupancy
Li1 0.0000 0.0000 0.2054 1
Al1 0.0000 0.0000 0.5000 1
Cu1 0.0000 0.2021 0.0000 1
Cu2 0.0000 0.2954 0.3538 1
Cu3 0.0000 0.5000 0.1540 1
```

Energy relative to the most stable one, in meV per atom: i 52; ii 0

--- i ---
Compound: Li2Al2Cu3
Source: Alexandria
Functional: PBE
Structure: relaxed

```
data_Li2Al2Cu3
_chemical_formula_sum 'Li4 Al4 Cu6'
_symmetry_space_group_name_H-M 'C 1 2/m 1'
_symmetry_Int_Tables_number 12
_cell_length_a 11.2443
_cell_length_b 2.7137
_cell_length_c 6.5870
_cell_angle_alpha 90.00
_cell_angle_beta 109.12
_cell_angle_gamma 90.00
loop_
_symmetry_equiv_pos_as_xyz
'x,y,z'
'-x,-y,-z'
'-x,y,-z'
'x,-y,z'
'x+1/2,y+1/2,z'
'-x+1/2,-y+1/2,-z'
'-x+1/2,y+1/2,-z'
'x+1/2,-y+1/2,z'
loop_
_atom_site_label
_atom_site_fract_x
_atom_site_fract_y
_atom_site_fract_z
_atom_site_occupancy
Li1 0.1395 0.0000 0.4193 1
Al1 0.0832 0.5000 0.7401 1
Cu1 0.0000 0.0000 0.0000 1
Cu2 0.2145 0.5000 0.1450 1
```

--- ii ---
Compound: Li2Al2Cu3
Source: Alexandria
Functional: PBE
Structure: relaxed

```
data_Li2Al2Cu3
_chemical_formula_sum 'Li2 Al2 Cu3'
_symmetry_space_group_name_H-M 'P -1'
_symmetry_Int_Tables_number 2
_cell_length_a 4.1769
_cell_length_b 4.1778
_cell_length_c 6.5896
_cell_angle_alpha 90.84
_cell_angle_beta 107.75
_cell_angle_gamma 119.44
loop_
_symmetry_equiv_pos_as_xyz
'x,y,z'
'-x,-y,-z'
loop_
_atom_site_label
_atom_site_fract_x
_atom_site_fract_y
_atom_site_fract_z
_atom_site_occupancy
Li1 0.2138 0.3574 0.0710 1
Al1 0.3373 0.9173 0.7542 1
Cu1 0.0629 0.7821 0.3457 1
Cu2 0.5000 0.5000 0.5000 1
```

Energy relative to the most stable one, in meV per atom: i 42; ii 0

--- i ---
Compound: Li2Al2Cu5
Source: Alexandria
Functional: PBE
Structure: relaxed

```
data_Li2Al2Cu5
_chemical_formula_sum 'Li4 Al4 Cu10'
_symmetry_space_group_name_H-M 'C 1 2/m 1'
_symmetry_Int_Tables_number 12
_cell_length_a 9.0237
_cell_length_b 4.1562
_cell_length_c 6.3826
_cell_angle_alpha 90.00
_cell_angle_beta 105.06
_cell_angle_gamma 90.00
loop_
_symmetry_equiv_pos_as_xyz
'x,y,z'
'-x,-y,-z'
'-x,y,-z'
'x,-y,z'
'x+1/2,y+1/2,z'
'-x+1/2,-y+1/2,-z'
'-x+1/2,y+1/2,-z'
'x+1/2,-y+1/2,z'
loop_
_atom_site_label
_atom_site_fract_x
_atom_site_fract_y
_atom_site_fract_z
_atom_site_occupancy
Li1 0.1182 0.0000 0.1708 1
Al1 0.0636 0.5000 0.8186 1
Cu1 0.0000 0.0000 0.5000 1
Cu2 0.1688 0.5000 0.4909 1
Cu3 0.2258 0.0000 0.8355 1
```

--- ii ---
Compound: Li2Al2Cu5
Source: Alexandria
Functional: PBE
Structure: relaxed

```
data_Li2Al2Cu5
_chemical_formula_sum 'Li2 Al2 Cu5'
_symmetry_space_group_name_H-M 'P -1'
_symmetry_Int_Tables_number 2
_cell_length_a 4.3866
_cell_length_b 4.9768
_cell_length_c 6.2194
_cell_angle_alpha 76.04
_cell_angle_beta 69.95
_cell_angle_gamma 83.73
loop_
_symmetry_equiv_pos_as_xyz
'x,y,z'
'-x,-y,-z'
loop_
_atom_site_label
_atom_site_fract_x
_atom_site_fract_y
_atom_site_fract_z
_atom_site_occupancy
Li1 0.0670 0.0427 0.2208 1
Al1 0.4007 0.3041 0.7365 1
Cu1 0.0000 0.5000 0.5000 1
Cu2 0.2077 0.5729 0.0708 1
Cu3 0.4868 0.1922 0.3415 1
```

Energy relative to the most stable one, in meV per atom: i 0; ii 22

--- i ---
Compound: Mg16Al12Cu
Source: Alexandria
Functional: PBE
Structure: relaxed

```
data_Mg16Al12Cu
_chemical_formula_sum 'Mg48 Al36 Cu3'
_symmetry_space_group_name_H-M 'R 3 m'
_symmetry_Int_Tables_number 160
_symmetry_space_group_name_Hall 'R 3 -2"'
_cell_length_a 14.7069
_cell_length_b 14.7069
_cell_length_c 9.1635
_cell_angle_alpha 90.00
_cell_angle_beta 90.00
_cell_angle_gamma 120.00
loop_
_atom_site_label
_atom_site_fract_x
_atom_site_fract_y
_atom_site_fract_z
_atom_site_occupancy
Mg1 0.0000 0.0000 0.0000 1
Mg2 0.0155 0.3075 0.2984 1
Mg3 0.0638 0.5319 0.2117 1
Mg4 0.1854 0.0927 0.5101 1
Mg5 0.2173 0.4347 0.7774 1
Al1 0.9997 0.1812 0.8125 1
Al2 0.0629 0.1257 0.2863 1
Al3 0.0780 0.5390 0.7218 1
Cu1 0.0000 0.0000 0.7115 1
```

--- ii ---
Compound: Mg16Al12Cu
Source: Alexandria
Functional: PBE
Structure: relaxed

```
data_Mg16Al12Cu
_chemical_formula_sum 'Mg32 Al24 Cu2'
_symmetry_space_group_name_H-M 'C 1 m 1'
_symmetry_Int_Tables_number 8
_cell_length_a 10.4588
_cell_length_b 14.7404
_cell_length_c 9.0338
_cell_angle_alpha 90.00
_cell_angle_beta 124.81
_cell_angle_gamma 90.00
loop_
_symmetry_equiv_pos_as_xyz
'x,y,z'
'x,-y,z'
'x+1/2,y+1/2,z'
'x+1/2,-y+1/2,z'
loop_
_atom_site_label
_atom_site_fract_x
_atom_site_fract_y
_atom_site_fract_z
_atom_site_occupancy
Mg1 0.0000 0.0000 0.0000 1
Mg2 0.0086 0.0000 0.3529 1
Mg3 0.0612 0.3451 0.4052 1
Mg4 0.1263 0.5000 0.6662 1
Mg5 0.1604 0.1588 0.6036 1
Mg6 0.1792 0.1735 0.0018 1
Mg7 0.1938 0.5000 0.2976 1
Mg8 0.3044 0.2985 0.3240 1
Mg9 0.4610 0.1306 0.9941 1
Mg10 0.4900 0.1925 0.6933 1
Al1 0.0100 0.1872 0.1916 1
Al2 0.1891 0.0000 0.8124 1
Al3 0.2392 0.4088 0.0168 1
Al4 0.2780 0.0918 0.3733 1
Al5 0.3232 0.3145 0.8235 1
Al6 0.3651 0.0000 0.1788 1
Al7 0.4109 0.4072 0.6421 1
Cu1 0.3304 0.0000 0.6523 1
```

Energy relative to the most stable one, in meV per atom: i 10; ii 0

--- i ---
Compound: Mg3AlCu
Source: Alexandria
Functional: PBE
Structure: relaxed

```
data_Mg3AlCu
_chemical_formula_sum 'Mg3 Al1 Cu1'
_symmetry_space_group_name_H-M 'P m -3 m'
_symmetry_Int_Tables_number 221
_symmetry_space_group_name_Hall '-P 4 2 3'
_cell_length_a 4.8644
_cell_length_b 4.8644
_cell_length_c 4.8644
_cell_angle_alpha 90.00
_cell_angle_beta 90.00
_cell_angle_gamma 90.00
loop_
_atom_site_label
_atom_site_fract_x
_atom_site_fract_y
_atom_site_fract_z
_atom_site_occupancy
Mg1 0.0000 0.0000 0.5000 1
Al1 0.5000 0.5000 0.5000 1
Cu1 0.0000 0.0000 0.0000 1
```

--- ii ---
Compound: Mg3AlCu
Source: Alexandria
Functional: PBE
Structure: relaxed

```
data_Mg3AlCu
_chemical_formula_sum 'Mg3 Al1 Cu1'
_symmetry_space_group_name_H-M 'P m -3 m'
_symmetry_Int_Tables_number 221
_symmetry_space_group_name_Hall '-P 4 2 3'
_cell_length_a 5.1340
_cell_length_b 5.1340
_cell_length_c 5.1340
_cell_angle_alpha 90.00
_cell_angle_beta 90.00
_cell_angle_gamma 90.00
loop_
_atom_site_label
_atom_site_fract_x
_atom_site_fract_y
_atom_site_fract_z
_atom_site_occupancy
Mg1 0.0000 0.0000 0.5000 1
Al1 0.0000 0.0000 0.0000 1
Cu1 0.5000 0.5000 0.5000 1
```

Energy relative to the most stable one, in meV per atom: i 0; ii 349

--- i ---
Compound: MnAl4Cu
Source: Alexandria
Functional: PBE
Structure: relaxed

```
data_MnAl4Cu
_chemical_formula_sum 'Mn4 Al16 Cu4'
_symmetry_space_group_name_H-M 'F -4 3 m'
_symmetry_Int_Tables_number 216
_symmetry_space_group_name_Hall 'F -4 2 3'
_cell_length_a 7.2243
_cell_length_b 7.2243
_cell_length_c 7.2243
_cell_angle_alpha 90.00
_cell_angle_beta 90.00
_cell_angle_gamma 90.00
loop_
_atom_site_label
_atom_site_fract_x
_atom_site_fract_y
_atom_site_fract_z
_atom_site_occupancy
Mn1 0.0000 0.0000 0.0000 1
Al1 0.1251 0.1251 0.3749 1
Cu1 0.2500 0.2500 0.7500 1
```

--- ii ---
Compound: MnAl4Cu
Source: Alexandria
Functional: PBE
Structure: relaxed

```
data_MnAl4Cu
_chemical_formula_sum 'Mn4 Al16 Cu4'
_symmetry_space_group_name_H-M 'I 41/a m d'
_symmetry_Int_Tables_number 141
_cell_length_a 5.8869
_cell_length_b 5.8869
_cell_length_c 11.5117
_cell_angle_alpha 90.00
_cell_angle_beta 90.00
_cell_angle_gamma 90.00
loop_
_symmetry_equiv_pos_as_xyz
'x,y,z'
'-x,-y,-z'
'-y+1/4,x+3/4,z+1/4'
'y+1/4,-x+3/4,-z+1/4'
'-x+1/2,-y,z+1/2'
'x+1/2,y,-z+1/2'
'y+1/4,-x+1/4,z+3/4'
'-y+1/4,x+1/4,-z+3/4'
'x,-y,-z'
'-x,y,z'
'-y+1/4,-x+1/4,-z+3/4'
'y+1/4,x+1/4,z+3/4'
'-x+1/2,y,-z+1/2'
'x+1/2,-y,z+1/2'
'y+1/4,x+3/4,-z+1/4'
'-y+1/4,-x+3/4,z+1/4'
'x+1/2,y+1/2,z+1/2'
'-x+1/2,-y+1/2,-z+1/2'
'-y+3/4,x+1/4,z+3/4'
'y+3/4,-x+1/4,-z+3/4'
'-x,-y+1/2,z'
'x,y+1/2,-z'
'y+3/4,-x+3/4,z+1/4'
'-y+3/4,x+3/4,-z+1/4'
'x+1/2,-y+1/2,-z+1/2'
'-x+1/2,y+1/2,z+1/2'
'-y+3/4,-x+3/4,-z+1/4'
'y+3/4,x+3/4,z+1/4'
'-x,y+1/2,-z'
'x,-y+1/2,z'
'y+3/4,x+1/4,-z+3/4'
'-y+3/4,-x+1/4,z+3/4'
loop_
_atom_site_label
_atom_site_fract_x
_atom_site_fract_y
_atom_site_fract_z
_atom_site_occupancy
Mn1 0.0000 0.2500 0.3750 1
Al1 0.2465 0.0000 0.5000 1
Cu1 0.0000 0.2500 0.8750 1
```

Energy relative to the most stable one, in meV per atom: i 300; ii 0

--- i ---
Compound: MnAl3Cu
Source: Alexandria
Functional: PBE
Structure: relaxed

```
data_MnAl3Cu
_chemical_formula_sum 'Mn4 Al12 Cu4'
_symmetry_space_group_name_H-M 'C m c m'
_symmetry_Int_Tables_number 63
_symmetry_space_group_name_Hall '-C 2c 2'
_cell_length_a 4.3387
_cell_length_b 14.5723
_cell_length_c 4.3292
_cell_angle_alpha 90.00
_cell_angle_beta 90.00
_cell_angle_gamma 90.00
loop_
_atom_site_label
_atom_site_fract_x
_atom_site_fract_y
_atom_site_fract_z
_atom_site_occupancy
Mn1 0.0000 0.1461 0.2500 1
Al1 0.0000 0.0536 0.7500 1
Al2 0.0000 0.2485 0.7500 1
Al3 0.0000 0.4380 0.7500 1
Cu1 0.0000 0.3457 0.2500 1
```

--- ii ---
Compound: MnAl3Cu
Source: Alexandria
Functional: PBE
Structure: relaxed

```
data_MnAl3Cu
_chemical_formula_sum 'Mn8 Al24 Cu8'
_symmetry_space_group_name_H-M 'C m c e'
_symmetry_Int_Tables_number 64
_symmetry_space_group_name_Hall '-C 2ac 2'
_cell_length_a 8.6435
_cell_length_b 9.4679
_cell_length_c 7.0596
_cell_angle_alpha 90.00
_cell_angle_beta 90.00
_cell_angle_gamma 90.00
loop_
_atom_site_label
_atom_site_fract_x
_atom_site_fract_y
_atom_site_fract_z
_atom_site_occupancy
Mn1 0.0000 0.2173 0.1315 1
Al1 0.0000 0.0475 0.8306 1
Al2 0.1746 0.1319 0.4096 1
Cu1 0.2500 0.1387 0.7500 1
```

Energy relative to the most stable one, in meV per atom: i 0; ii 66